A relaxed structure of HoGa2Hg, computed with PBE.

Cell: 4.683 6.377 11.207 Å, 90.00 90.00 90.00°
Fractional positions:
Ho1 0.000 0.000 0.000
Ho2 0.000 0.500 0.500
Ho3 0.500 0.000 0.340
Ho4 0.500 0.500 0.840
Ga1 0.000 0.000 0.520
Ga2 0.000 0.223 0.751
Ga3 0.000 0.277 0.251
Ga4 0.000 0.500 0.020
Ga5 0.000 0.723 0.251
Ga6 0.000 0.777 0.751
Ga7 0.500 0.000 0.830
Ga8 0.500 0.500 0.330
Hg1 0.500 0.245 0.593
Hg2 0.500 0.255 0.093
Hg3 0.500 0.745 0.093
Hg4 0.500 0.755 0.593

Output
- magnetization (μB/f.u.) = 0.0
- energy (eV/atom) = -3.13